1.
First-principles (PBE) data for a relaxed KTcOs2F crystal, as listed in the Alexandria database.

Cell: 4.724 4.724 4.787 Å, 90.00 90.00 90.00°
Space group P4/mmm (No. 123)
Asymmetric unit:
K (0.000, 0.000, 0.000) x1
Tc (0.500, 0.500, 0.500) x1
Os (0.000, 0.500, 0.500) x2
F (0.500, 0.500, 0.000) x1

Formation energy (no corrections) in eV per atom: 1.115
DOS(E_F) in states/eV per atom: 1.71

2.
First-principles (PBE) data for a relaxed KTlOsF6 crystal, as listed in the Alexandria database.

Cell: 6.3618 6.3618 5.2798 Å, 90.00 90.00 120.00°
Space group P312 (No. 149)
Asymmetric unit:
K (0.0000, 0.0000, 0.0000) x1
Tl (0.6667, 0.3333, 0.5000) x1
Os (0.3333, 0.6667, 0.0000) x1
F (0.0763, 0.4091, 0.2112) x6

Formation energy (no corrections) in eV per atom: -2.008
DOS(E_F) in states/eV per atom: 0.77